Computed, not measured: a relaxed NaZnInI4 crystal at the PBE level of DFT. Values from VASP.

```
&SYSTEM
  ibrav = 0, nat = 14, ntyp = 4
/
ATOMIC_SPECIES
I 126.90 I.upf
Zn 65.41 Zn.upf
In 114.82 In.upf
Na 22.99 Na.upf
ATOMIC_POSITIONS angstrom
I 3.085 2.009 7.422
Zn 2.368 5.619 4.445
In -0.552 0.704 2.484
I 1.736 6.325 6.933
In 4.534 4.908 8.578
Zn 1.614 -0.008 6.618
I 2.255 0.799 0.326
I 2.247 -0.713 4.129
I 1.728 4.813 10.737
Na 0.235 3.371 7.958
I 4.919 5.054 4.225
Na 3.748 2.241 3.104
I 0.898 3.603 3.640
I -0.936 0.558 6.837
CELL_PARAMETERS angstrom
-4.641 5.711 2.261
-0.015 -3.029 7.619
8.639 2.930 1.182
```

## Properties
Its density of states at the Fermi level is 0.00 states/eV per cell. The calculation puts the total magnetization at 0.000 Bohr magnetons per cell. The uncorrected formation energy is -722 meV per atom. The value obtained for the total energy is -2.37 eV per atom.